# 1
The following is a DFT calculation (PBE-GGA) of RbBa2SbO after structural relaxation.

Electronic total energy   -4.17 eV/atom

The structure in POSCAR format:
```
RbBa2SbO
1.0
5.503 0.000 0.000
0.000 5.503 0.000
0.000 0.000 5.471
Rb Ba Sb O
1 2 1 1
Direct
0.000 0.000 0.500
0.500 0.000 0.000
0.000 0.500 0.000
0.500 0.500 0.500
0.000 0.000 0.000
```

---

# 2
The following is a DFT calculation (PBE-GGA) of K2YPb after structural relaxation.

Energy of formation from the pure elements   0.2660 eV per atom
Electronic total energy   -2.83 eV/atom

The structure in POSCAR format:
```
K2YPb
1.0
-0.198 2.174 2.806
-0.993 -3.320 0.791
12.664 -3.017 3.229
Y Pb K
1 1 2
Direct
0.500 0.500 0.750
0.500 0.500 0.250
0.000 0.000 0.018
0.000 0.000 0.482
```

---

# 3
The following is a DFT calculation (PBE-GGA) of AcTbSc2 after structural relaxation.

Energy of formation from the pure elements   0.1336 eV per atom
Energy relative to the lowest polymorph listed for this composition   44 meV/atom
Electronic total energy   -5.22 eV/atom

The structure in POSCAR format:
```
AcTbSc2
1.0
3.595 0.000 0.000
1.798 3.114 0.000
1.798 1.038 11.057
Sc Tb Ac
2 1 1
Direct
0.247 0.247 0.259
0.086 0.086 0.741
0.500 0.500 0.500
0.667 0.667 0.000
```

---

# 4
The following is a DFT calculation (PBE-GGA) of Pr2Nd2Th after structural relaxation.

Energy of formation from the pure elements   1.1401 eV per atom
Energy relative to the lowest polymorph listed for this composition   1126 meV/atom
Electronic total energy   -4.16 eV/atom

The structure in POSCAR format:
```
Pr2Nd2Th
1.0
4.174 0.000 0.000
0.000 4.174 0.000
-2.087 -2.087 12.573
Th Pr Nd
1 2 2
Direct
0.000 0.000 0.000
0.750 0.250 0.500
0.250 0.750 0.500
0.873 0.873 0.747
0.127 0.127 0.253
```